Mn2NbCoC (GGA-PBE, relaxed); total moment = 0.47 μB/f.u.; formation energy from the elements = -0.12 eV per atom; uncorrected energy = -45.3 eV for the cell shown
1.0
3.858 0.000 0.000
0.000 3.858 0.000
0.000 0.000 3.730
Nb C Mn Co
1 1 2 1
Cartesian
1.929 1.929 1.865 Nb
0.000 0.000 0.000 C
1.929 0.000 0.000 Mn
0.000 1.929 0.000 Mn
0.000 0.000 1.865 Co